## a
VASP calculation (PBE) on BaInSb after structural relaxation.

POSCAR file:
```
BaInSb
1.0
5.456 0.000 0.000
0.000 9.997 0.000
0.000 0.000 7.810
Ba In Sb
4 4 4
direct
0.750 0.673 0.637
0.750 0.827 0.137
0.250 0.173 0.137
0.250 0.327 0.637
0.750 0.427 0.285
0.250 0.927 0.785
0.750 0.073 0.785
0.250 0.573 0.285
0.250 0.651 0.920
0.250 0.849 0.420
0.750 0.349 0.920
0.750 0.151 0.420
```

Output
SG   Ima2 (46)
Size of the total moment   0.000 μB per atom
Volume   35.50 Å³ per atom

***

## b
VASP calculation (PBE) on BaInSb after structural relaxation.

POSCAR file:
```
BaInSb
1.0
-3.365 1.638 -3.073
-0.865 -3.957 2.654
-2.119 3.144 3.997
In Ba Sb
1 1 1
direct
0.000 0.000 0.275
0.333 0.667 0.667
0.667 0.333 0.057
```

Output
SG   P3m1 (156)
Size of the total moment   0.000 μB per atom
Volume   37.30 Å³ per atom

***

The energy of each structure relative to the most stable one, in meV per atom, is as follows: a 9; b 0.

***

## a
VASP calculation (PBE) on BaInSbTe2 after structural relaxation.

POSCAR file:
```
BaInSbTe2
1.0
6.498 0.000 0.000
0.000 6.498 0.000
0.000 0.000 6.436
Sb Te In Ba
1 2 1 1
direct
0.000 0.000 0.500
0.000 0.500 0.000
0.500 0.000 0.000
0.500 0.500 0.500
0.000 0.000 0.000
```

Output
SG   P4/mmm (123)
Size of the total moment   0.282 μB per atom
Volume   54.36 Å³ per atom

***

## b
VASP calculation (PBE) on BaInSbTe2 after structural relaxation.

POSCAR file:
```
BaInSbTe2
1.0
5.881 0.000 0.000
0.000 5.881 0.000
0.000 0.000 5.544
Te Sb Ba In
2 1 1 1
direct
0.000 0.500 0.000
0.500 0.000 0.000
0.000 0.000 0.500
0.500 0.500 0.500
0.000 0.000 0.000
```

Output
SG   P4/mmm (123)
Size of the total moment   0.046 μB per atom
Volume   38.36 Å³ per atom

***

The energy of each structure relative to the most stable one, in meV per atom, is as follows: a 658; b 0.

***

## a
VASP calculation (PBE) on BaScIn3 after structural relaxation.

POSCAR file:
```
BaScIn3
1.0
-4.812 0.957 2.703
2.178 -2.214 4.662
1.865 5.056 1.530
In Ba Sc
3 1 1
direct
0.000 0.000 0.500
0.500 0.000 0.000
0.000 0.500 0.000
0.500 0.500 0.500
0.000 0.000 0.000
```

Output
SG   Pm-3m (221)
Size of the total moment   0.000 μB per atom
Volume   35.16 Å³ per atom

***

## b
VASP calculation (PBE) on BaScIn3 after structural relaxation.

POSCAR file:
```
BaScIn3
1.0
-3.099 0.674 5.146
-2.802 -5.262 -0.999
4.368 -2.897 3.010
In Sc Ba
3 1 1
direct
0.000 0.500 0.000
0.500 0.000 0.000
0.000 0.000 0.500
0.500 0.500 0.500
0.000 0.000 0.000
```

Output
SG   Pm-3m (221)
Size of the total moment   0.000 μB per atom
Volume   44.17 Å³ per atom

***

The energy of each structure relative to the most stable one, in meV per atom, is as follows: a 0; b 1143.